This record from the Alexandria database describes a relaxed structure of ScP3Cl. The functional is PBE.

abc: 4.554 4.554 4.554
angles: 90.00 90.00 90.00
Fractional coordinates of all 5 atoms:
Sc (0.000, 0.000, 0.000)
P (0.000, 0.500, 0.500)
P (0.500, 0.000, 0.500)
P (0.500, 0.500, 0.000)
Cl (0.500, 0.500, 0.500)

Output
ρ = 3.05 g/cm3
final energy = -21.2 eV per cell
D(E_F) = 2.6 states/eV per cell
E_form (uncorrected) = 650 meV per atom
V = 18.885 Å³/atom

---

This record from the Alexandria database describes a relaxed structure of NdSm2Sn. The functional is PBE.

abc: 4.221 4.221 6.917
angles: 90.00 90.00 90.00
Fractional coordinates of all 4 atoms:
Nd (0.000, 0.000, 0.000)
Sm (0.500, 0.500, 0.276)
Sm (0.500, 0.500, 0.724)
Sn (0.000, 0.000, 0.500)

Output
ρ = 7.59 g/cm3
final energy = -19.6 eV per cell
D(E_F) = 5.4 states/eV per cell
energy of formation from the pure elements = -0.34 eV/atom
V = 30.811 Å³/atom

---

This record from the Alexandria database describes a relaxed structure of LiZrTaRe. The functional is PBE.

abc: 4.588 4.588 4.588
angles: 60.00 60.00 60.00
Fractional coordinates of all 4 atoms:
Li (0.000, 0.000, 0.000)
Zr (0.250, 0.250, 0.250)
Ta (0.750, 0.750, 0.750)
Re (0.500, 0.500, 0.500)

Output
ρ = 11.31 g/cm3
final energy = -35.0 eV per cell
D(E_F) = 2.2 states/eV per cell
energy of formation from the pure elements = -0.07 eV/atom
V = 17.073 Å³/atom

---

This record from the Alexandria database describes a relaxed structure of Dy5Y2. The functional is PBE.

abc: 8.443 8.443 9.198
angles: 95.68 95.68 43.69
Fractional coordinates of all 14 atoms:
Dy (0.022, 0.691, 0.036)
Dy (0.118, 0.454, 0.679)
Dy (0.165, 0.835, 0.750)
Dy (0.309, 0.978, 0.464)
Dy (0.454, 0.118, 0.179)
Dy (0.546, 0.882, 0.821)
Dy (0.691, 0.022, 0.536)
Dy (0.835, 0.165, 0.250)
Dy (0.882, 0.546, 0.321)
Dy (0.978, 0.309, 0.964)
Y (0.261, 0.595, 0.393)
Y (0.405, 0.739, 0.107)
Y (0.595, 0.261, 0.893)
Y (0.739, 0.405, 0.607)

Output
ρ = 7.30 g/cm3
final energy = -71.8 eV per cell
D(E_F) = 24.5 states/eV per cell
energy of formation from the pure elements = 0.00 eV/atom
V = 32.170 Å³/atom

---

This record from the Alexandria database describes a relaxed structure of CaAlCr. The functional is PBE.

abc: 4.722 4.722 4.722
angles: 60.00 60.00 60.00
Fractional coordinates of all 3 atoms:
Ca (0.000, 0.000, 0.000)
Al (0.500, 0.500, 0.500)
Cr (0.250, 0.250, 0.250)

Output
ρ = 2.65 g/cm3
final energy = -13.8 eV per cell
D(E_F) = 2.6 states/eV per cell
energy of formation from the pure elements = 0.53 eV/atom
V = 24.822 Å³/atom

---

This record from the Alexandria database describes a relaxed structure of BaSr2Cu. The functional is PBE.

abc: 7.264 7.264 7.264
angles: 137.95 137.95 60.97
Fractional coordinates of all 4 atoms:
Ba (0.000, 0.000, 0.000)
Sr (0.250, 0.750, 0.500)
Sr (0.750, 0.250, 0.500)
Cu (0.500, 0.500, 0.000)

Output
ρ = 3.67 g/cm3
final energy = -8.2 eV per cell
D(E_F) = 4.7 states/eV per cell
energy of formation from the pure elements = 0.29 eV/atom
V = 42.511 Å³/atom

---

This record from the Alexandria database describes a relaxed structure of LaHoThIn. The functional is PBE.

abc: 5.551 5.551 5.551
angles: 60.00 60.00 60.00
Fractional coordinates of all 4 atoms:
La (0.000, 0.000, 0.000)
Ho (0.500, 0.500, 0.500)
Th (0.250, 0.250, 0.250)
In (0.750, 0.750, 0.750)

Output
ρ = 8.93 g/cm3
final energy = -19.8 eV per cell
D(E_F) = 5.8 states/eV per cell
energy of formation from the pure elements = -0.04 eV/atom
V = 30.237 Å³/atom

---

This record from the Alexandria database describes a relaxed structure of SmHoSe2. The functional is PBE.

abc: 4.024 4.024 14.112
angles: 90.00 90.00 120.00
Fractional coordinates of all 8 atoms:
Sm (0.000, 0.000, 0.000)
Sm (0.000, 0.000, 0.500)
Ho (0.333, 0.667, 0.250)
Ho (0.667, 0.333, 0.750)
Se (0.333, 0.667, 0.627)
Se (0.333, 0.667, 0.873)
Se (0.667, 0.333, 0.127)
Se (0.667, 0.333, 0.373)

Output
ρ = 7.94 g/cm3
final energy = -46.5 eV per cell
D(E_F) = 4.0 states/eV per cell
E_form (uncorrected) = -1748 meV per atom
V = 24.737 Å³/atom

---

This record from the Alexandria database describes a relaxed structure of SrAcMgPd. The functional is PBE.

abc: 5.558 5.558 5.558
angles: 60.00 60.00 60.00
Fractional coordinates of all 4 atoms:
Sr (0.000, 0.000, 0.000)
Ac (0.500, 0.500, 0.500)
Mg (0.750, 0.750, 0.750)
Pd (0.250, 0.250, 0.250)

Output
ρ = 6.09 g/cm3
final energy = -13.6 eV per cell
D(E_F) = 3.2 states/eV per cell
energy of formation from the pure elements = -0.26 eV/atom
V = 30.352 Å³/atom

---

This record from the Alexandria database describes a relaxed structure of La7PrTm2. The functional is PBE.

abc: 9.224 9.224 5.888
angles: 90.00 90.00 120.50
Fractional coordinates of all 10 atoms:
La (0.000, 0.000, 0.000)
La (0.200, 0.435, 0.000)
La (0.259, 0.741, 0.500)
La (0.435, 0.200, 0.000)
La (0.565, 0.800, 0.000)
La (0.741, 0.259, 0.500)
La (0.800, 0.565, 0.000)
Pr (0.500, 0.500, 0.500)
Tm (0.203, 0.797, 0.000)
Tm (0.797, 0.203, 0.000)

Output
ρ = 5.58 g/cm3
final energy = -42.3 eV per cell
D(E_F) = 16.9 states/eV per cell
energy of formation from the pure elements = 0.59 eV/atom
V = 43.157 Å³/atom

---

This record from the Alexandria database describes a relaxed structure of Dy3GaSe2. The functional is PBE.

abc: 7.257 7.257 7.257
angles: 148.00 132.76 58.21
Fractional coordinates of all 6 atoms:
Dy (0.000, 0.000, 0.000)
Dy (0.334, 0.334, 0.000)
Dy (0.666, 0.666, 0.000)
Ga (0.500, 0.000, 0.500)
Se (0.168, 0.668, 0.500)
Se (0.832, 0.332, 0.500)

Output
ρ = 8.05 g/cm3
final energy = -32.3 eV per cell
D(E_F) = 0.8 states/eV per cell
E_form (uncorrected) = -1421 meV per atom
V = 24.588 Å³/atom

---

This record from the Alexandria database describes a relaxed structure of Ir12Os2Rh5. The functional is PBE.

abc: 8.740 8.740 6.668
angles: 106.24 106.24 35.96
Fractional coordinates of all 19 atoms:
Ir (0.047, 0.047, 0.202)
Ir (0.058, 0.550, 0.702)
Ir (0.137, 0.652, 0.110)
Ir (0.348, 0.863, 0.890)
Ir (0.352, 0.352, 0.411)
Ir (0.450, 0.942, 0.298)
Ir (0.550, 0.058, 0.702)
Ir (0.648, 0.648, 0.589)
Ir (0.652, 0.137, 0.110)
Ir (0.863, 0.348, 0.890)
Ir (0.942, 0.450, 0.298)
Ir (0.953, 0.953, 0.798)
Os (0.266, 0.734, 0.500)
Os (0.734, 0.266, 0.500)
Rh (0.150, 0.150, 0.590)
Rh (0.251, 0.251, 0.001)
Rh (0.500, 0.500, 0.000)
Rh (0.749, 0.749, 0.999)
Rh (0.850, 0.850, 0.410)

Output
ρ = 18.60 g/cm3
final energy = -161.4 eV per cell
D(E_F) = 22.6 states/eV per cell
energy of formation from the pure elements = 0.22 eV/atom
V = 15.043 Å³/atom